1.
DFT (PBE) results for a relaxed structure of Na4Tb3ThS8.

Output
The energy relative to the elements, uncorrected is -1.79 eV/atom.

Cell lengths 8.0218, 8.0218, 20.1313 Å; angles 90.00, 90.00, 120.00 degrees
Space group R-3m (No. 166, hexagonal axes)
One atom of each set of equivalent atoms:
Na1 0.0000 0.0000 0.0000 [3 per cell]
Na2 0.0000 0.5000 0.0000 [9 per cell]
Tb1 0.0000 0.5000 0.5000 [9 per cell]
Th1 0.0000 0.0000 0.5000 [3 per cell]
S1 0.0000 0.0000 0.2429 [6 per cell]
S2 0.0022 0.5011 0.7558 [18 per cell]

***

2.
DFT (PBE) results for a relaxed structure of Th4SiC2N.

Output
The energy relative to the elements, uncorrected is -0.37 eV/atom.

Cell lengths 6.694, 6.694, 7.918 Å; angles 90.00, 90.00, 90.00 degrees
Space group I-42m (No. 121)
One atom of each set of equivalent atoms:
Th1 0.218 0.218 0.346 [8 per cell]
Si1 0.000 0.000 0.000 [2 per cell]
C1 0.000 0.500 0.250 [4 per cell]
N1 0.000 0.000 0.500 [2 per cell]

***

3.
DFT (PBE) results for a relaxed structure of CeGdH.

Output
Its energy relative to the lowest polymorph listed for this composition is 10.7 kJ per mole of atoms.

Cell lengths 3.366, 3.366, 11.974 Å; angles 90.00, 90.00, 90.00 degrees
Space group I4mm (No. 107)
One atom of each set of equivalent atoms:
Ce1 0.000 0.000 0.000 [2 per cell]
Gd1 0.000 0.000 0.721 [2 per cell]
H1 0.000 0.000 0.532 [2 per cell]

***

4.
DFT (PBE) results for a relaxed structure of Ni2Ge2Ir.

Output
Its energy relative to the lowest polymorph listed for this composition is 0.0 kJ per mole of atoms. The formation energy comes out at -0.16 eV per atom.

Cell lengths 6.686, 6.686, 2.985 Å; angles 90.00, 90.00, 90.00 degrees
Space group P4/mbm (No. 127)
One atom of each set of equivalent atoms:
Ni1 0.137 0.363 0.000 [4 per cell]
Ge1 0.155 0.655 0.500 [4 per cell]
Ir1 0.000 0.000 0.500 [2 per cell]

***

5.
DFT (PBE) results for a relaxed structure of PtC2.

Output
Its energy relative to the lowest polymorph listed for this composition is 117.5 kJ per mole of atoms. The formation energy comes out at 1.54 eV per atom.

Cell lengths 3.8467, 3.8467, 10.0456 Å; angles 90.00, 90.00, 120.00 degrees
Space group P6_3/mmc (No. 194)
One atom of each set of equivalent atoms:
Pt1 0.3333 0.6667 0.0942 [4 per cell]
C1 0.0000 0.0000 0.0000 [2 per cell]
C2 0.1261 0.2522 0.2500 [6 per cell]

***

6.
DFT (PBE) results for a relaxed structure of AcHoZn2Si2.

Output
The energy relative to the elements, uncorrected is -0.58 eV/atom.

Cell lengths 4.1937, 4.1937, 8.6199 Å; angles 90.00, 90.00, 120.00 degrees
Space group P-3m1 (No. 164)
One atom of each set of equivalent atoms:
Ac1 0.0000 0.0000 0.0000 [1 per cell]
Ho1 0.0000 0.0000 0.5000 [1 per cell]
Zn1 0.3333 0.6667 0.7282 [2 per cell]
Si1 0.3333 0.6667 0.2766 [2 per cell]

***

7.
DFT (PBE) results for a relaxed structure of La2ErAg4.

Output
The formation energy comes out at -0.11 eV per atom.

Cell lengths 5.446, 5.446, 13.004 Å; angles 90.00, 90.00, 90.00 degrees
Space group I4/mmm (No. 139)
One atom of each set of equivalent atoms:
La1 0.000 0.000 0.217 [4 per cell]
Er1 0.000 0.000 0.500 [2 per cell]
Ag1 0.000 0.500 0.111 [8 per cell]

***

8.
DFT (PBE) results for a relaxed structure of Tm2ZrAl2Pd5.

Output
The formation energy comes out at -0.83 eV per atom.

Cell lengths 10.037, 10.037, 3.649 Å; angles 90.00, 90.00, 90.00 degrees
Space group P4/mbm (No. 127)
One atom of each set of equivalent atoms:
Tm1 0.175 0.325 0.000 [4 per cell]
Zr1 0.000 0.000 0.000 [2 per cell]
Al1 0.123 0.623 0.000 [4 per cell]
Pd1 0.000 0.500 0.500 [2 per cell]
Pd2 0.060 0.792 0.500 [8 per cell]

***

9.
DFT (PBE) results for a relaxed structure of PaBiPt4.

Output
The formation energy comes out at -0.58 eV per atom.

Cell lengths 7.735, 7.735, 7.735 Å; angles 90.00, 90.00, 90.00 degrees
Space group F-43m (No. 216)
One atom of each set of equivalent atoms:
Pa1 0.000 0.000 0.000 [4 per cell]
Bi1 0.250 0.250 0.250 [4 per cell]
Pt1 0.125 0.125 0.625 [16 per cell]

***

10.
DFT (PBE) results for a relaxed structure of Na2TaBi2.

Output
Its energy relative to the lowest polymorph listed for this composition is 10.1 kJ per mole of atoms. The formation energy comes out at 0.40 eV per atom.

Cell lengths 3.829, 3.829, 17.034 Å; angles 90.00, 90.00, 90.00 degrees
Space group I4/mmm (No. 139)
One atom of each set of equivalent atoms:
Na1 0.000 0.500 0.250 [4 per cell]
Ta1 0.000 0.000 0.000 [2 per cell]
Bi1 0.000 0.000 0.406 [4 per cell]